The following is a GGA-PBE calculation of an optimized crystal structure of ScRe3O, from Alexandria via LeMat-Bulk.

Computed properties:
For the uncorrected formation energy, the calculation gives 1.16 eV per formula unit.

Cell and atoms, written as CIF:
```
data_ScRe3O
_chemical_formula_sum 'Sc1 Re3 O1'
_cell_length_a 4.161
_cell_length_b 4.161
_cell_length_c 4.161
_cell_angle_alpha 90.00
_cell_angle_beta 90.00
_cell_angle_gamma 90.00
_symmetry_space_group_name_H-M 'P m -3 m'
_symmetry_Int_Tables_number 221
_symmetry_space_group_name_Hall '-P 4 2 3'
loop_
_atom_site_label
_atom_site_fract_x
_atom_site_fract_y
_atom_site_fract_z
Sc1 0.000 0.000 0.000
Re1 0.000 0.500 0.500
O1 0.500 0.500 0.500
```


The following is a GGA-PBE calculation of an optimized crystal structure of Pm7Ga2C2, from Alexandria via LeMat-Bulk.

Computed properties:
The formation energy is -0.1304 eV/atom.

Cell and atoms, written as CIF:
```
data_Pm7Ga2C2
_chemical_formula_sum 'Pm14 Ga4 C4'
_cell_length_a 11.116
_cell_length_b 7.591
_cell_length_c 6.650
_cell_angle_alpha 90.00
_cell_angle_beta 96.82
_cell_angle_gamma 90.00
_symmetry_space_group_name_H-M 'C 1 2/m 1'
_symmetry_Int_Tables_number 12
_symmetry_space_group_name_Hall '-C 2y'
loop_
_atom_site_label
_atom_site_fract_x
_atom_site_fract_y
_atom_site_fract_z
Pm1 0.000 0.000 0.000
Pm2 0.050 0.500 0.778
Pm3 0.232 0.276 0.245
Ga1 0.000 0.167 0.500
C1 0.240 0.000 0.026
```


The following is a GGA-PBE calculation of an optimized crystal structure of CdHgTe2, from Alexandria via LeMat-Bulk.

Computed properties:
For the uncorrected formation energy, the calculation gives 0.51 eV per formula unit.

Cell and atoms, written as CIF:
```
data_CdHgTe2
_chemical_formula_sum 'Cd1 Hg1 Te2'
_cell_length_a 3.236
_cell_length_b 3.236
_cell_length_c 10.917
_cell_angle_alpha 90.00
_cell_angle_beta 90.00
_cell_angle_gamma 90.00
_symmetry_space_group_name_H-M 'P 4 m m'
_symmetry_Int_Tables_number 99
_symmetry_space_group_name_Hall 'P 4 -2'
loop_
_atom_site_label
_atom_site_fract_x
_atom_site_fract_y
_atom_site_fract_z
Cd1 0.000 0.000 0.000
Hg1 0.500 0.500 0.201
Te1 0.000 0.000 0.444
Te2 0.500 0.500 0.775
```


The following is a GGA-PBE calculation of an optimized crystal structure of PmHg3, from Alexandria via LeMat-Bulk.

Computed properties:
The formation energy is -0.3469 eV/atom.

Cell and atoms, written as CIF:
```
data_PmHg3
_chemical_formula_sum 'Pm1 Hg3'
_cell_length_a 4.680
_cell_length_b 4.680
_cell_length_c 4.694
_cell_angle_alpha 90.00
_cell_angle_beta 90.00
_cell_angle_gamma 90.00
_symmetry_space_group_name_H-M 'P 4/m m m'
_symmetry_Int_Tables_number 123
_symmetry_space_group_name_Hall '-P 4 2'
loop_
_atom_site_label
_atom_site_fract_x
_atom_site_fract_y
_atom_site_fract_z
Pm1 0.000 0.000 0.000
Hg1 0.000 0.500 0.500
Hg2 0.500 0.500 0.000
```


The following is a GGA-PBE calculation of an optimized crystal structure of LiScPd, from Alexandria via LeMat-Bulk.

Computed properties:
The formation energy is -0.5694 eV/atom.

Cell and atoms, written as CIF:
```
data_LiScPd
_chemical_formula_sum 'Li4 Sc4 Pd4'
_cell_length_a 4.301
_cell_length_b 9.444
_cell_length_c 5.180
_cell_angle_alpha 90.00
_cell_angle_beta 90.00
_cell_angle_gamma 90.00
_symmetry_space_group_name_H-M 'C m c m'
_symmetry_Int_Tables_number 63
_symmetry_space_group_name_Hall '-C 2c 2'
loop_
_atom_site_label
_atom_site_fract_x
_atom_site_fract_y
_atom_site_fract_z
Li1 0.000 0.000 0.000
Sc1 0.000 0.294 0.250
Pd1 0.000 0.398 0.750
```


The following is a GGA-PBE calculation of an optimized crystal structure of Y2GeC, from Alexandria via LeMat-Bulk.

Computed properties:
The formation energy is -0.0961 eV/atom.

Cell and atoms, written as CIF:
```
data_Y2GeC
_chemical_formula_sum 'Y6 Ge3 C3'
_cell_length_a 3.5860
_cell_length_b 3.5860
_cell_length_c 25.6729
_cell_angle_alpha 90.00
_cell_angle_beta 90.00
_cell_angle_gamma 120.00
_symmetry_space_group_name_H-M 'R -3 m'
_symmetry_Int_Tables_number 166
_symmetry_space_group_name_Hall '-R 3 2"'
loop_
_atom_site_label
_atom_site_fract_x
_atom_site_fract_y
_atom_site_fract_z
Y1 0.0000 0.0000 0.1150
Ge1 0.0000 0.0000 0.0000
C1 0.0000 0.0000 0.5000
```